(1)
# Gd3Co5Te12 PBE optimized geometry
# Uncorrected formation energy ... -0.43 eV/atom
# N(E_F) ... 1.149 states/eV/atom
# Final energy ... -496.4 eV for the cell shown
data_Gd3Co5Te12
_chemical_formula_sum 'Gd12 Co20 Te48'
_cell_length_a 14.155
_cell_length_b 14.155
_cell_length_c 14.155
_cell_angle_alpha 109.47
_cell_angle_beta 109.47
_cell_angle_gamma 109.47
_space_group_name_H-M_alt 'P 1'
_space_group_IT_number 1
_space_group_name_Hall 'P 1'
loop_
_atom_site_label
_atom_site_fract_x
_atom_site_fract_y
_atom_site_fract_z
Co1 0.375 0.250 0.125
Co2 0.000 0.500 0.000
Co3 0.000 0.500 0.500
Co4 0.500 0.500 0.500
Co5 0.250 0.875 0.125
Co6 0.000 0.000 0.000
Co7 0.375 0.125 0.750
Co8 0.875 0.250 0.625
Co9 0.125 0.375 0.250
Co10 0.875 0.625 0.750
Co11 0.250 0.375 0.625
Co12 0.500 0.500 0.000
Co13 0.750 0.125 0.875
Co14 0.500 0.000 0.000
Co15 0.125 0.750 0.375
Co16 0.625 0.875 0.250
Co17 0.625 0.750 0.875
Co18 0.500 0.000 0.500
Co19 0.750 0.625 0.375
Co20 0.000 0.000 0.500
Gd1 0.875 0.125 0.250
Gd2 0.750 0.875 0.625
Gd3 0.625 0.250 0.375
Gd4 0.625 0.375 0.750
Gd5 0.250 0.125 0.375
Gd6 0.250 0.625 0.875
Gd7 0.375 0.625 0.250
Gd8 0.375 0.750 0.625
Gd9 0.125 0.875 0.750
Gd10 0.125 0.250 0.875
Gd11 0.750 0.375 0.125
Gd12 0.875 0.750 0.125
Te1 0.299 0.412 0.823
Te2 0.024 0.412 0.823
Te3 0.387 0.976 0.799
Te4 0.588 0.701 0.677
Te5 0.387 0.412 0.088
Te6 0.088 0.912 0.387
Te7 0.024 0.613 0.701
Te8 0.201 0.524 0.613
Te9 0.677 0.201 0.588
Te10 0.912 0.823 0.524
Te11 0.887 0.299 0.476
Te12 0.412 0.024 0.323
Te13 0.201 0.677 0.088
Te14 0.677 0.476 0.588
Te15 0.588 0.887 0.412
Te16 0.701 0.588 0.177
Te17 0.912 0.088 0.613
Te18 0.799 0.323 0.912
Te19 0.177 0.088 0.976
Te20 0.177 0.088 0.701
Te21 0.476 0.677 0.088
Te22 0.476 0.799 0.887
Te23 0.588 0.613 0.412
Te24 0.088 0.177 0.476
Te25 0.113 0.412 0.088
Te26 0.412 0.113 0.588
Te27 0.113 0.701 0.524
Te28 0.323 0.524 0.412
Te29 0.912 0.088 0.887
Te30 0.887 0.588 0.912
Te31 0.323 0.799 0.412
Te32 0.088 0.177 0.201
Te33 0.299 0.887 0.976
Te34 0.524 0.323 0.912
Te35 0.412 0.299 0.323
Te36 0.088 0.912 0.113
Te37 0.799 0.476 0.387
Te38 0.823 0.912 0.024
Te39 0.613 0.588 0.912
Te40 0.912 0.823 0.799
Te41 0.524 0.201 0.113
Te42 0.823 0.912 0.299
Te43 0.613 0.024 0.201
Te44 0.976 0.588 0.177
Te45 0.976 0.387 0.299
Te46 0.701 0.113 0.024
Te47 0.412 0.387 0.588
Te48 0.588 0.976 0.677

(2)
# GdTh2Co PBE optimized geometry
# Energy above the lowest structure with this stoichiometry ... 109.9 meV/atom
# Calculated formation energy ... 103 meV per atom
# N(E_F) ... 1.904 states/eV/atom
# Final energy ... -35.6 eV for the cell shown
data_GdTh2Co
_chemical_formula_sum 'Gd1 Th2 Co1'
_cell_length_a 3.749
_cell_length_b 3.749
_cell_length_c 10.276
_cell_angle_alpha 79.49
_cell_angle_beta 79.49
_cell_angle_gamma 60.00
_space_group_name_H-M_alt 'P 1'
_space_group_IT_number 1
_space_group_name_Hall 'P 1'
loop_
_atom_site_label
_atom_site_fract_x
_atom_site_fract_y
_atom_site_fract_z
Th1 0.113 0.113 0.660
Th2 0.887 0.887 0.340
Co1 0.500 0.500 0.500
Gd1 0.000 0.000 0.000

(3)
# GdTh3Co PBE optimized geometry
# Calculated formation energy ... 18 meV per atom
# N(E_F) ... 1.819 states/eV/atom
# Final energy ... -43.4 eV for the cell shown
data_GdTh3Co
_chemical_formula_sum 'Gd1 Th3 Co1'
_cell_length_a 5.351
_cell_length_b 5.351
_cell_length_c 5.351
_cell_angle_alpha 90.00
_cell_angle_beta 90.00
_cell_angle_gamma 90.00
_space_group_name_H-M_alt 'P 1'
_space_group_IT_number 1
_space_group_name_Hall 'P 1'
loop_
_atom_site_label
_atom_site_fract_x
_atom_site_fract_y
_atom_site_fract_z
Th1 0.000 0.000 0.500
Th2 0.000 0.500 0.000
Th3 0.500 0.000 0.000
Gd1 0.500 0.500 0.500
Co1 0.000 0.000 0.000

(4)
# GdTh2Co PBE optimized geometry
# Energy above the lowest structure with this stoichiometry ... 0.0 meV/atom
# Calculated formation energy ... -6 meV per atom
# N(E_F) ... 1.778 states/eV/atom
# Final energy ... -36.1 eV for the cell shown
data_GdTh2Co
_chemical_formula_sum 'Gd1 Th2 Co1'
_cell_length_a 3.519
_cell_length_b 3.519
_cell_length_c 8.625
_cell_angle_alpha 90.00
_cell_angle_beta 90.00
_cell_angle_gamma 90.00
_space_group_name_H-M_alt 'P 1'
_space_group_IT_number 1
_space_group_name_Hall 'P 1'
loop_
_atom_site_label
_atom_site_fract_x
_atom_site_fract_y
_atom_site_fract_z
Th1 0.000 0.000 0.188
Th2 0.000 0.000 0.812
Co1 0.500 0.500 0.000
Gd1 0.500 0.500 0.500

(5)
# GdThCo PBE optimized geometry
# Energy above the lowest structure with this stoichiometry ... 50.3 meV/atom
# Calculated formation energy ... -70 meV per atom
# N(E_F) ... 1.257 states/eV/atom
# Final energy ... -28.8 eV for the cell shown
data_GdThCo
_chemical_formula_sum 'Gd1 Th1 Co1'
_cell_length_a 3.511
_cell_length_b 3.511
_cell_length_c 6.348
_cell_angle_alpha 106.05
_cell_angle_beta 106.05
_cell_angle_gamma 90.00
_space_group_name_H-M_alt 'P 1'
_space_group_IT_number 1
_space_group_name_Hall 'P 1'
loop_
_atom_site_label
_atom_site_fract_x
_atom_site_fract_y
_atom_site_fract_z
Th1 0.298 0.298 0.595
Gd1 0.018 0.018 0.036
Co1 0.684 0.684 0.369

(6)
# GdThCo PBE optimized geometry
# Energy above the lowest structure with this stoichiometry ... 129.5 meV/atom
# Calculated formation energy ... 9 meV per atom
# N(E_F) ... 1.437 states/eV/atom
# Final energy ... -28.6 eV for the cell shown
data_GdThCo
_chemical_formula_sum 'Gd1 Th1 Co1'
_cell_length_a 4.779
_cell_length_b 4.779
_cell_length_c 4.779
_cell_angle_alpha 60.00
_cell_angle_beta 60.00
_cell_angle_gamma 60.00
_space_group_name_H-M_alt 'P 1'
_space_group_IT_number 1
_space_group_name_Hall 'P 1'
loop_
_atom_site_label
_atom_site_fract_x
_atom_site_fract_y
_atom_site_fract_z
Th1 0.500 0.500 0.500
Co1 0.250 0.250 0.250
Gd1 0.000 0.000 0.000

(7)
# GdThCo PBE optimized geometry
# Energy above the lowest structure with this stoichiometry ... 0.0 meV/atom
# Calculated formation energy ... -120 meV per atom
# N(E_F) ... 1.163 states/eV/atom
# Final energy ... -29.0 eV for the cell shown
data_GdThCo
_chemical_formula_sum 'Gd1 Th1 Co1'
_cell_length_a 3.870
_cell_length_b 3.870
_cell_length_c 6.246
_cell_angle_alpha 90.00
_cell_angle_beta 90.00
_cell_angle_gamma 120.00
_space_group_name_H-M_alt 'P 1'
_space_group_IT_number 1
_space_group_name_Hall 'P 1'
loop_
_atom_site_label
_atom_site_fract_x
_atom_site_fract_y
_atom_site_fract_z
Gd1 0.000 0.000 0.083
Co1 0.667 0.333 0.345
Th1 0.333 0.667 0.572

(8)
# GdThZnCo PBE optimized geometry
# Calculated formation energy ... -141 meV per atom
# N(E_F) ... 0.791 states/eV/atom
# Final energy ... -30.4 eV for the cell shown
data_GdThZnCo
_chemical_formula_sum 'Gd1 Th1 Zn1 Co1'
_cell_length_a 4.999
_cell_length_b 4.999
_cell_length_c 4.999
_cell_angle_alpha 60.00
_cell_angle_beta 60.00
_cell_angle_gamma 60.00
_space_group_name_H-M_alt 'P 1'
_space_group_IT_number 1
_space_group_name_Hall 'P 1'
loop_
_atom_site_label
_atom_site_fract_x
_atom_site_fract_y
_atom_site_fract_z
Zn1 0.000 0.000 0.000
Co1 0.500 0.500 0.500
Gd1 0.250 0.250 0.250
Th1 0.750 0.750 0.750

(9)
# GdTiCo4 PBE optimized geometry
# Calculated formation energy ... -162 meV per atom
# N(E_F) ... 1.260 states/eV/atom
# Final energy ... -51.4 eV for the cell shown
data_GdTiCo4
_chemical_formula_sum 'Gd1 Ti1 Co4'
_cell_length_a 4.916
_cell_length_b 4.916
_cell_length_c 4.916
_cell_angle_alpha 60.00
_cell_angle_beta 60.00
_cell_angle_gamma 60.00
_space_group_name_H-M_alt 'P 1'
_space_group_IT_number 1
_space_group_name_Hall 'P 1'
loop_
_atom_site_label
_atom_site_fract_x
_atom_site_fract_y
_atom_site_fract_z
Co1 0.127 0.624 0.624
Co2 0.624 0.127 0.624
Co3 0.624 0.624 0.127
Co4 0.624 0.624 0.624
Ti1 0.250 0.250 0.250
Gd1 0.000 0.000 0.000

(10)
# GdTiCo PBE optimized geometry
# Calculated formation energy ... -63 meV per atom
# N(E_F) ... 1.453 states/eV/atom
# Final energy ... -29.3 eV for the cell shown
data_GdTiCo
_chemical_formula_sum 'Gd1 Ti1 Co1'
_cell_length_a 3.178
_cell_length_b 3.178
_cell_length_c 6.071
_cell_angle_alpha 105.17
_cell_angle_beta 105.17
_cell_angle_gamma 90.00
_space_group_name_H-M_alt 'P 1'
_space_group_IT_number 1
_space_group_name_Hall 'P 1'
loop_
_atom_site_label
_atom_site_fract_x
_atom_site_fract_y
_atom_site_fract_z
Ti1 0.713 0.713 0.426
Gd1 0.989 0.989 0.978
Co1 0.298 0.298 0.596

(11)
# Gd2TlCo PBE optimized geometry
# Calculated formation energy ... -240 meV per atom
# N(E_F) ... 0.804 states/eV/atom
# Final energy ... -38.6 eV for the cell shown
data_Gd2TlCo
_chemical_formula_sum 'Gd2 Tl1 Co1'
_cell_length_a 3.397
_cell_length_b 3.397
_cell_length_c 8.226
_cell_angle_alpha 90.00
_cell_angle_beta 90.00
_cell_angle_gamma 90.00
_space_group_name_H-M_alt 'P 1'
_space_group_IT_number 1
_space_group_name_Hall 'P 1'
loop_
_atom_site_label
_atom_site_fract_x
_atom_site_fract_y
_atom_site_fract_z
Co1 0.500 0.500 0.000
Gd1 0.000 0.000 0.797
Gd2 0.000 0.000 0.203
Tl1 0.500 0.500 0.500

(12)
# GdTlCo4 PBE optimized geometry
# Calculated formation energy ... 27 meV per atom
# N(E_F) ... 1.525 states/eV/atom
# Final energy ... -44.7 eV for the cell shown
data_GdTlCo4
_chemical_formula_sum 'Gd1 Tl1 Co4'
_cell_length_a 5.037
_cell_length_b 5.037
_cell_length_c 5.037
_cell_angle_alpha 60.00
_cell_angle_beta 60.00
_cell_angle_gamma 60.00
_space_group_name_H-M_alt 'P 1'
_space_group_IT_number 1
_space_group_name_Hall 'P 1'
loop_
_atom_site_label
_atom_site_fract_x
_atom_site_fract_y
_atom_site_fract_z
Co1 0.625 0.625 0.125
Co2 0.625 0.625 0.625
Co3 0.125 0.625 0.625
Co4 0.625 0.125 0.625
Tl1 0.250 0.250 0.250
Gd1 0.000 0.000 0.000